Compound: Re2AgRu
Source: Alexandria
Functional: PBE-GGA
Structure: relaxed

Cell and atoms, written as CIF:
```
data_Re2AgRu
_chemical_formula_sum 'Re2 Ag1 Ru1'
_cell_length_a 2.7512
_cell_length_b 4.0168
_cell_length_c 5.5385
_cell_angle_alpha 90.00
_cell_angle_beta 90.00
_cell_angle_gamma 90.00
_symmetry_space_group_name_H-M 'P m m m'
_symmetry_Int_Tables_number 47
loop_
_symmetry_equiv_pos_as_xyz
'x,y,z'
'-x,-y,-z'
'-x,-y,z'
'x,y,-z'
'x,-y,-z'
'-x,y,z'
'-x,y,-z'
'x,-y,z'
loop_
_atom_site_label
_atom_site_fract_x
_atom_site_fract_y
_atom_site_fract_z
Re1 0.0000 0.0000 0.2245
Ag1 0.5000 0.5000 0.5000
Ru1 0.5000 0.5000 0.0000
```

Output
Density of states at the Fermi level ... 3.228 states/eV/cell
Energy of formation from the pure elements ... 0.44 eV per atom
Magnetization ... 0.00 μB/cell
Offset from the most stable computed form ... 0.183 eV/atom